# 1
Entry from Alexandria via LeMat-Bulk: crystalline La4TlCo at its relaxed geometry (PBE).

ΔH_f (0 K): 55 kJ/mol of atoms
Excess energy over the best structure of this formula in the dataset: 457.9 kJ/mol of formula units

```
La4TlCo
1.0
0.000 4.535 4.535
4.535 0.000 4.535
4.535 4.535 0.000
Co La Tl
1 4 1
Cartesian
0.000 0.000 0.000
3.401 5.668 5.668
3.401 3.401 3.401
5.668 5.668 3.401
5.668 3.401 5.668
6.802 6.802 6.802
```

=====

# 2
Entry from Alexandria via LeMat-Bulk: crystalline La5TlCo at its relaxed geometry (PBE).

ΔH_f (0 K): -13 kJ/mol of atoms

```
La5TlCo
1.0
6.583 0.301 0.044
2.374 6.147 0.044
3.201 2.305 11.246
La Tl Co
10 2 2
Cartesian
3.865 4.553 9.716
3.944 1.069 4.094
7.777 3.920 5.131
7.786 7.284 10.753
4.381 4.833 6.203
4.373 1.469 0.580
8.293 4.200 1.617
8.973 2.045 8.478
8.215 7.685 7.240
3.186 6.708 2.855
5.160 3.965 2.855
6.998 4.788 8.478
1.601 1.152 5.623
0.000 0.000 0.000
```

=====

# 3
Entry from Alexandria via LeMat-Bulk: crystalline La12Tl5Co2 at its relaxed geometry (PBE).

ΔH_f (0 K): -23 kJ/mol of atoms

```
La12Tl5Co2
1.0
-2.161 -2.745 6.618
5.038 -6.095 -5.114
7.884 3.313 3.948
Co La Tl
2 12 5
Cartesian
-1.448 -1.840 4.436
-0.713 -0.905 2.182
1.150 -0.763 4.290
3.503 -4.503 -2.719
1.538 0.242 0.603
3.721 -2.668 6.462
2.484 -5.797 0.401
7.041 -2.859 -1.010
5.957 -4.236 2.310
9.611 -4.764 1.162
9.224 -5.769 4.849
4.805 -1.291 3.142
8.277 0.270 5.051
7.259 -1.024 8.171
3.942 1.656 1.974
2.699 -3.941 3.478
7.022 -2.963 5.295
8.063 -1.586 1.974
3.739 -2.565 0.157
```

=====

# 4
Entry from Alexandria via LeMat-Bulk: crystalline La4TlCo at its relaxed geometry (PBE).

ΔH_f (0 K): -22 kJ/mol of atoms
Excess energy over the best structure of this formula in the dataset: 0.0 kJ/mol of formula units

```
La4TlCo
1.0
-4.207 -1.297 4.340
3.836 -5.762 1.996
4.185 8.082 2.287
Co La Tl
2 8 2
Cartesian
0.856 -3.009 2.669
2.958 4.032 5.954
3.447 -1.116 3.154
0.367 2.139 5.469
7.097 3.707 3.803
2.058 4.947 3.685
1.756 -3.924 4.939
-0.203 -0.981 3.919
4.017 2.004 4.705
0.923 -1.387 0.481
2.270 -0.742 6.494
1.544 1.766 2.130
```